Density functional theory data (GGA-PBE) for a relaxed structure of Pa2AlC.

Geometry as POSCAR:
```
Pa2AlC
1.0
-2.5437 0.8619 1.8327
1.9373 -2.4332 0.9479
4.8846 5.5192 4.1839
Pa Al C
2 1 1
Direct
0.4666 0.5334 0.3094
0.4666 0.5334 0.6906
0.7994 0.2006 0.0000
0.1334 0.8666 0.5000
```

- Distance to the lowest polymorph of the same formula: 0.211 eV per atom
- E: -8.0102 eV/atom

Density functional theory data (GGA-PBE) for a relaxed structure of Ti5Nb2Ga4.

Geometry as POSCAR:
```
Ti5Nb2Ga4
1.0
-0.2046 -0.2974 -2.9094
-6.1978 -2.9624 0.7387
-0.9590 10.1885 0.5029
Ti Nb Ga
5 2 4
Direct
0.1410 0.3343 0.2820
0.8590 0.6657 0.7180
0.1410 0.9477 0.2820
0.5000 0.0000 0.0000
0.8590 0.0523 0.7180
0.7343 0.7343 0.4687
0.2657 0.2657 0.5313
0.5967 0.5967 0.1933
0.0000 0.6907 0.0000
0.4033 0.4033 0.8067
0.0000 0.3093 0.0000
```

- E: -6.4422 eV/atom

Density functional theory data (GGA-PBE) for a relaxed structure of CaMgHgO2.

Geometry as POSCAR:
```
CaMgHgO2
1.0
4.6386 0.0000 0.0000
0.0000 4.8211 0.0000
0.0000 0.0000 4.6386
Mg Ca Hg O
1 1 1 2
Direct
0.0000 0.5000 0.0000
0.5000 0.5000 0.5000
0.0000 0.0000 0.0000
0.0000 0.0000 0.5000
0.5000 0.0000 0.0000
```

- Energy relative to the elements, uncorrected: -0.0691 eV/atom
- E: -2.8320 eV/atom

Density functional theory data (GGA-PBE) for a relaxed structure of GeBrF3.

Geometry as POSCAR:
```
GeBrF3
1.0
-2.2635 -3.6587 -1.5063
1.1791 -2.2802 3.7667
-3.7768 1.4808 2.0787
Ge Br F
1 1 3
Direct
0.5000 0.5000 0.5000
0.0000 0.0000 0.0000
0.0000 0.5000 0.0000
0.0000 0.0000 0.5000
0.5000 0.0000 0.0000
```

- Distance to the lowest polymorph of the same formula: 1.653 eV per atom
- Energy relative to the elements, uncorrected: -0.2663 eV/atom
- E: -2.6471 eV/atom

Density functional theory data (GGA-PBE) for a relaxed structure of LaY2Zn2.

Geometry as POSCAR:
```
LaY2Zn2
1.0
4.8503 0.0000 0.0000
0.0000 4.8503 0.0000
2.4251 2.4251 5.8841
Y Zn La
2 2 1
Direct
0.7500 0.2500 0.5000
0.2500 0.7500 0.5000
0.3982 0.3982 0.2037
0.6018 0.6018 0.7963
0.0000 0.0000 0.0000
```

- Distance to the lowest polymorph of the same formula: 0.113 eV per atom
- E: -4.2215 eV/atom

Density functional theory data (GGA-PBE) for a relaxed structure of Cs2Tl2In2Hg.

Geometry as POSCAR:
```
Cs2Tl2In2Hg
1.0
5.2449 0.0000 0.0000
2.6225 7.3425 -0.9489
2.6225 1.7462 7.2007
Cs Tl In Hg
2 2 2 1
Direct
0.5812 0.1734 0.6643
0.4188 0.8266 0.3357
0.1435 0.3982 0.3149
0.8565 0.6018 0.6851
0.2304 0.6196 0.9196
0.7696 0.3804 0.0804
0.0000 0.0000 0.0000
```

- E: -1.8606 eV/atom

Density functional theory data (GGA-PBE) for a relaxed structure of Sr2RuBr.

Geometry as POSCAR:
```
Sr2RuBr
1.0
8.0229 0.0000 0.0000
0.0000 8.0229 0.0000
4.0115 4.0115 4.1643
Ru Br Sr
2 2 4
Direct
0.0000 0.0000 0.0000
0.7500 0.2500 0.5000
0.5000 0.5000 0.0000
0.2500 0.7500 0.5000
0.6465 0.1250 0.2500
0.1035 0.6250 0.2500
0.3750 0.3535 0.7500
0.8750 0.8965 0.7500
```

- Distance to the lowest polymorph of the same formula: 0.363 eV per atom
- Energy relative to the elements, uncorrected: -0.0702 eV/atom
- E: -3.6483 eV/atom

Density functional theory data (GGA-PBE) for a relaxed structure of AcCuSbS4.

Geometry as POSCAR:
```
AcCuSbS4
1.0
-3.9458 5.1631 -2.6010
-4.1016 -3.7732 -1.2677
-2.0200 -0.5565 8.1924
Ac Cu Sb S
2 2 2 8
Direct
0.7396 0.7500 0.9235
0.2604 0.2500 0.0765
0.2030 0.7500 0.3008
0.7970 0.2500 0.6992
0.6858 0.7500 0.4165
0.3142 0.2500 0.5835
0.0377 0.5170 0.7723
0.9623 0.0170 0.2277
0.9623 0.4830 0.2277
0.0377 0.9830 0.7723
0.4364 0.7500 0.1370
0.5636 0.2500 0.8630
0.4129 0.7500 0.5733
0.5871 0.2500 0.4267
```

- Energy relative to the elements, uncorrected: -0.8414 eV/atom
- E: -4.9609 eV/atom

Density functional theory data (GGA-PBE) for a relaxed structure of NaGe2Rh3.

Geometry as POSCAR:
```
NaGe2Rh3
1.0
-1.9560 1.8855 2.9495
0.5141 -8.0283 2.7473
8.1306 4.5150 2.5056
Na Ge Rh
3 6 9
Direct
0.1619 0.3238 0.7042
0.8381 0.6762 0.2958
0.0000 0.0000 0.0000
0.1865 0.3731 0.1186
0.8135 0.6269 0.8814
0.4603 0.9206 0.2094
0.5397 0.0794 0.7906
0.3585 0.7170 0.5434
0.6415 0.2830 0.4566
0.0372 0.0745 0.3363
0.9628 0.9255 0.6637
0.2115 0.4230 0.3884
0.7885 0.5770 0.6116
0.6112 0.2223 0.1910
0.3888 0.7777 0.8090
0.5000 0.0000 0.5000
0.3162 0.6323 0.0365
0.6838 0.3677 0.9635
```

- E: -5.8053 eV/atom

Density functional theory data (GGA-PBE) for a relaxed structure of Cs2SbTeSe4.

Geometry as POSCAR:
```
Cs2SbTeSe4
1.0
9.0135 -0.0045 -0.2691
-0.0108 9.0135 -0.2691
-4.7293 -4.7326 7.1202
Cs Sb Te Se
4 2 2 8
Direct
0.5000 0.0000 0.0000
0.5000 0.0000 0.5000
0.0000 0.0000 0.5000
0.5000 0.5000 0.0000
0.5000 0.5000 0.5000
0.0000 0.0000 0.0000
0.0000 0.5000 0.0000
0.0000 0.5000 0.5000
0.1959 0.7381 0.9932
0.7619 0.3041 0.5068
0.2381 0.6959 0.4932
0.8041 0.2619 0.0068
0.7597 0.7099 0.9383
0.7901 0.7403 0.5617
0.2099 0.2597 0.4383
0.2403 0.2901 0.0617
```

- Energy relative to the elements, uncorrected: -0.5039 eV/atom
- E: -3.3675 eV/atom

Density functional theory data (GGA-PBE) for a relaxed structure of Y3PdO.

Geometry as POSCAR:
```
Y3PdO
1.0
4.7135 0.0000 0.0000
0.0000 4.7135 0.0000
0.0000 0.0000 4.7135
Y O Pd
3 1 1
Direct
0.0000 0.5000 0.0000
0.0000 0.0000 0.5000
0.5000 0.0000 0.0000
0.0000 0.0000 0.0000
0.5000 0.5000 0.5000
```

- Energy relative to the elements, uncorrected: -1.3765 eV/atom
- E: -7.2851 eV/atom

Density functional theory data (GGA-PBE) for a relaxed structure of Ac2SbHPd6.

Geometry as POSCAR:
```
Ac2SbHPd6
1.0
5.9902 0.0033 0.0114
-0.0263 7.1942 0.8327
2.9789 4.2071 5.0653
Ac Sb H Pd
2 1 1 6
Direct
0.7334 0.2651 0.5311
0.2666 0.7349 0.4689
0.0000 0.0000 0.0000
0.5000 0.5000 0.0000
0.2753 0.2327 0.4456
0.7651 0.7235 0.9568
0.2761 0.7222 0.9557
0.7239 0.2778 0.0443
0.2349 0.2765 0.0432
0.7247 0.7673 0.5544
```

- E: -5.3780 eV/atom

Look up the E of the fourth one. -2.6471 eV/atom

Copy entry 2 word for word.
Density functional theory data (GGA-PBE) for a relaxed structure of Ti5Nb2Ga4.

Geometry as POSCAR:
```
Ti5Nb2Ga4
1.0
-0.2046 -0.2974 -2.9094
-6.1978 -2.9624 0.7387
-0.9590 10.1885 0.5029
Ti Nb Ga
5 2 4
Direct
0.1410 0.3343 0.2820
0.8590 0.6657 0.7180
0.1410 0.9477 0.2820
0.5000 0.0000 0.0000
0.8590 0.0523 0.7180
0.7343 0.7343 0.4687
0.2657 0.2657 0.5313
0.5967 0.5967 0.1933
0.0000 0.6907 0.0000
0.4033 0.4033 0.8067
0.0000 0.3093 0.0000
```

- E: -6.4422 eV/atom

Look up the E of the fourth one. -2.6471 eV/atom